Below is an optimized crystal structure of GaBi2PbO, with properties calculated at the PBE level.

Lattice parameters (Å, degrees): 4.998 4.998 4.942 90.00 90.00 90.00
Positions (direct):
Ga  0.000  0.000  0.000
Bi  0.000  0.500  0.500
Bi  0.500  0.000  0.500
Pb  0.500  0.500  0.000
O  0.000  0.000  0.500

**SG**: P4/mmm, No. 123
**E above lowest polymorph**: 0 kJ/mol of formula units
**Raw formation energy**: -0.20 eV per atom

***

Below is an optimized crystal structure of GaBi2PdO6, with properties calculated at the PBE level.

Lattice parameters (Å, degrees): 5.744 5.744 5.744 59.38 59.38 59.38
Positions (direct):
Ga  0.000  0.000  0.000
Bi  0.222  0.222  0.222
Bi  0.724  0.724  0.724
Pd  0.505  0.505  0.505
O  0.169  0.333  0.797
O  0.283  0.844  0.683
O  0.333  0.797  0.169
O  0.683  0.283  0.844
O  0.797  0.169  0.333
O  0.844  0.683  0.283

**SG**: R3, No. 146
**Raw formation energy**: -1.07 eV per atom

***

Below is an optimized crystal structure of Pm2GaBiO6, with properties calculated at the PBE level.

Lattice parameters (Å, degrees): 5.407 5.407 5.396 90.00 90.00 90.00
Positions (direct):
Pm  0.000  0.500  0.000
Pm  0.500  0.000  0.000
Ga  0.000  0.000  0.599
Bi  0.500  0.500  0.561
O  0.000  0.000  0.253
O  0.235  0.235  0.751
O  0.235  0.765  0.751
O  0.500  0.500  0.133
O  0.765  0.235  0.751
O  0.765  0.765  0.751

**SG**: P4mm, No. 99
**Raw formation energy**: -2.27 eV per atom

***

Below is an optimized crystal structure of GaBiPtO6, with properties calculated at the PBE level.

Lattice parameters (Å, degrees): 5.234 5.234 9.459 90.00 90.00 120.00
Positions (direct):
Ga  0.333  0.667  0.250
Ga  0.667  0.333  0.750
Bi  0.000  0.000  0.000
Bi  0.000  0.000  0.500
Pt  0.333  0.667  0.750
Pt  0.667  0.333  0.250
O  0.001  0.363  0.635
O  0.001  0.638  0.865
O  0.362  0.363  0.865
O  0.362  0.999  0.635
O  0.363  0.001  0.135
O  0.363  0.362  0.365
O  0.637  0.638  0.635
O  0.637  0.999  0.865
O  0.638  0.001  0.365
O  0.638  0.637  0.135
O  0.999  0.362  0.135
O  0.999  0.637  0.365

**SG**: P-31c, No. 163
**Raw formation energy**: -0.98 eV per atom

***

Below is an optimized crystal structure of PuGa2BiO8, with properties calculated at the PBE level.

Lattice parameters (Å, degrees): 4.845 4.845 7.121 95.37 95.37 82.65
Positions (direct):
Pu  0.000  0.000  0.000
Ga  0.461  0.461  0.298
Ga  0.539  0.539  0.702
Bi  0.000  0.000  0.500
O  0.209  0.776  0.226
O  0.224  0.791  0.774
O  0.258  0.258  0.052
O  0.322  0.322  0.506
O  0.678  0.678  0.494
O  0.742  0.742  0.948
O  0.776  0.209  0.226
O  0.791  0.224  0.774

**SG**: C2/m, No. 12
**Raw formation energy**: -1.78 eV per atom

***

Below is an optimized crystal structure of RbGaBiO4, with properties calculated at the PBE level.

Lattice parameters (Å, degrees): 5.798 6.064 7.556 90.00 104.68 90.00
Positions (direct):
Rb  0.158  0.250  0.086
Rb  0.842  0.750  0.914
Ga  0.384  0.250  0.666
Ga  0.616  0.750  0.334
Bi  0.181  0.750  0.472
Bi  0.819  0.250  0.528
O  0.159  0.023  0.675
O  0.159  0.477  0.675
O  0.298  0.750  0.207
O  0.431  0.250  0.430
O  0.569  0.750  0.570
O  0.702  0.250  0.793
O  0.841  0.523  0.325
O  0.841  0.977  0.325

**SG**: P2_1/m, No. 11
**Raw formation energy**: -1.37 eV per atom

***

Below is an optimized crystal structure of Ga2ReBiO8, with properties calculated at the PBE level.

Lattice parameters (Å, degrees): 4.703 4.703 6.492 90.00 90.00 90.98
Positions (direct):
Ga  0.000  0.000  0.247
Ga  0.000  0.000  0.753
Re  0.500  0.500  0.500
Bi  0.500  0.500  0.000
O  0.174  0.826  0.000
O  0.212  0.788  0.500
O  0.299  0.299  0.287
O  0.299  0.299  0.713
O  0.701  0.701  0.287
O  0.701  0.701  0.713
O  0.788  0.212  0.500
O  0.826  0.174  0.000

**SG**: Cmmm, No. 65
**Raw formation energy**: -1.47 eV per atom

***

Below is an optimized crystal structure of GaBiRhO6, with properties calculated at the PBE level.

Lattice parameters (Å, degrees): 4.739 4.739 9.613 90.00 90.00 90.00
Positions (direct):
Ga  0.000  0.000  0.000
Ga  0.500  0.500  0.500
Bi  0.000  0.000  0.333
Bi  0.500  0.500  0.833
Rh  0.000  0.000  0.666
Rh  0.500  0.500  0.166
O  0.178  0.178  0.834
O  0.198  0.198  0.512
O  0.202  0.202  0.156
O  0.298  0.702  0.656
O  0.302  0.698  0.012
O  0.322  0.678  0.334
O  0.678  0.322  0.334
O  0.698  0.302  0.012
O  0.702  0.298  0.656
O  0.798  0.798  0.156
O  0.802  0.802  0.512
O  0.822  0.822  0.834

**SG**: P4_2nm, No. 102
**Raw formation energy**: -1.03 eV per atom

***

Below is an optimized crystal structure of GaBi2RuO6, with properties calculated at the PBE level.

Lattice parameters (Å, degrees): 5.582 7.953 5.847 90.00 90.00 90.00
Positions (direct):
Ga  0.250  0.250  0.241
Ga  0.750  0.750  0.759
Bi  0.250  0.546  0.710
Bi  0.250  0.954  0.710
Bi  0.750  0.046  0.290
Bi  0.750  0.454  0.290
Ru  0.250  0.750  0.236
Ru  0.750  0.250  0.764
O  0.026  0.750  0.518
O  0.027  0.750  0.957
O  0.250  0.003  0.295
O  0.250  0.497  0.295
O  0.473  0.750  0.957
O  0.474  0.750  0.518
O  0.526  0.250  0.482
O  0.527  0.250  0.043
O  0.750  0.503  0.705
O  0.750  0.997  0.705
O  0.973  0.250  0.043
O  0.974  0.250  0.482

**SG**: Pmmn, No. 59
**Raw formation energy**: -1.08 eV per atom

***

Below is an optimized crystal structure of GaBi3Sb2O11, with properties calculated at the PBE level.

Lattice parameters (Å, degrees): 9.587 9.647 13.593 90.00 134.75 90.00
Positions (direct):
Ga  0.000  0.243  0.000
Ga  0.000  0.757  0.500
Ga  0.488  0.251  0.329
Ga  0.488  0.749  0.829
Bi  0.158  0.009  0.242
Bi  0.158  0.991  0.742
Bi  0.168  0.409  0.617
Bi  0.168  0.591  0.117
Bi  0.193  0.359  0.370
Bi  0.193  0.641  0.870
Bi  0.391  0.101  0.618
Bi  0.391  0.899  0.118
Bi  0.675  0.488  0.759
Bi  0.675  0.512  0.259
Bi  0.876  0.140  0.375
Bi  0.876  0.860  0.875
Sb  0.310  0.254  0.999
Sb  0.310  0.746  0.499
Sb  0.653  0.091  0.991
Sb  0.653  0.408  0.991
Sb  0.653  0.592  0.491
Sb  0.653  0.909  0.491
Sb  0.804  0.249  0.646
Sb  0.804  0.751  0.146
O  0.100  0.248  0.786
O  0.100  0.752  0.286
O  0.148  0.142  0.391
O  0.148  0.858  0.891
O  0.151  0.154  0.600
O  0.151  0.846  0.100
O  0.159  0.389  0.007
O  0.159  0.611  0.507
O  0.172  0.109  0.008
O  0.172  0.891  0.508
O  0.202  0.239  0.210
O  0.202  0.761  0.710
O  0.368  0.346  0.598
O  0.368  0.654  0.098
O  0.436  0.092  0.988
O  0.436  0.908  0.488
O  0.441  0.414  0.993
O  0.441  0.586  0.493
O  0.479  0.034  0.328
O  0.479  0.966  0.828
O  0.494  0.466  0.328
O  0.494  0.534  0.828
O  0.507  0.254  0.487
O  0.507  0.746  0.987
O  0.517  0.249  0.855
O  0.517  0.751  0.355
O  0.534  0.256  0.208
O  0.534  0.744  0.708
O  0.784  0.245  0.488
O  0.784  0.755  0.988
O  0.788  0.259  0.785
O  0.788  0.741  0.285
O  0.789  0.250  0.129
O  0.789  0.750  0.629
O  0.809  0.038  0.653
O  0.809  0.461  0.652
O  0.809  0.539  0.152
O  0.809  0.962  0.153
O  0.859  0.410  0.986
O  0.859  0.590  0.486
O  0.871  0.082  0.000
O  0.871  0.918  0.500
O  0.954  0.360  0.391
O  0.954  0.640  0.891

**SG**: Pc, No. 7
**Raw formation energy**: -1.44 eV per atom

***

Below is an optimized crystal structure of Ga2BiSbO8, with properties calculated at the PBE level.

Lattice parameters (Å, degrees): 4.710 6.376 4.715 90.00 91.69 90.00
Positions (direct):
Ga  0.000  0.242  0.000
Ga  0.000  0.758  0.000
Bi  0.500  0.500  0.500
Sb  0.500  0.000  0.500
O  0.181  0.500  0.179
O  0.195  0.000  0.193
O  0.299  0.236  0.699
O  0.299  0.764  0.699
O  0.701  0.236  0.301
O  0.701  0.764  0.301
O  0.805  0.000  0.807
O  0.819  0.500  0.821

**SG**: P2/m, No. 10
**Raw formation energy**: -1.38 eV per atom

***

Below is an optimized crystal structure of GaBiSb2O, with properties calculated at the PBE level.

Lattice parameters (Å, degrees): 5.777 5.777 5.871 90.00 90.00 90.00
Positions (direct):
Ga  0.000  0.000  0.000
Bi  0.000  0.000  0.500
Sb  0.000  0.500  0.500
Sb  0.500  0.000  0.500
O  0.500  0.500  0.000

**SG**: P4/mmm, No. 123
**Raw formation energy**: 1.29 eV per atom

***

Below is an optimized crystal structure of GaBiSbO6, with properties calculated at the PBE level.

Lattice parameters (Å, degrees): 5.265 5.265 9.585 90.00 90.00 120.00
Positions (direct):
Ga  0.333  0.667  0.250
Ga  0.667  0.333  0.750
Bi  0.000  0.000  0.000
Bi  0.000  0.000  0.500
Sb  0.333  0.667  0.750
Sb  0.667  0.333  0.250
O  0.001  0.361  0.137
O  0.001  0.640  0.363
O  0.360  0.361  0.363
O  0.360  0.999  0.137
O  0.361  0.001  0.637
O  0.361  0.360  0.863
O  0.639  0.640  0.137
O  0.639  0.999  0.363
O  0.640  0.001  0.863
O  0.640  0.639  0.637
O  0.999  0.360  0.637
O  0.999  0.639  0.863

**SG**: P-31c, No. 163
**Raw formation energy**: -1.38 eV per atom

***

Below is an optimized crystal structure of GaBiSeO2, with properties calculated at the PBE level.

Lattice parameters (Å, degrees): 6.450 6.450 5.493 90.00 90.00 127.75
Positions (direct):
Ga  0.021  0.979  0.750
Ga  0.979  0.021  0.250
Bi  0.372  0.628  0.250
Bi  0.628  0.372  0.750
Se  0.241  0.759  0.750
Se  0.759  0.241  0.250
O  0.239  0.239  0.000
O  0.239  0.239  0.500
O  0.761  0.761  0.000
O  0.761  0.761  0.500

**SG**: Cmcm, No. 63
**Raw formation energy**: -1.04 eV per atom

***

Below is an optimized crystal structure of GaBiSe2O, with properties calculated at the PBE level.

Lattice parameters (Å, degrees): 5.454 5.454 6.009 90.00 90.00 90.00
Positions (direct):
Ga  0.000  0.000  0.000
Bi  0.000  0.000  0.500
Se  0.000  0.500  0.500
Se  0.500  0.000  0.500
O  0.500  0.500  0.000

**SG**: P4/mmm, No. 123
**Raw formation energy**: 1.02 eV per atom

***

Below is an optimized crystal structure of GaSnBiO5, with properties calculated at the PBE level.

Lattice parameters (Å, degrees): 5.832 5.832 7.467 104.05 104.05 107.25
Positions (direct):
Ga  0.178  0.822  0.750
Ga  0.822  0.178  0.250
Sn  0.500  0.500  0.000
Sn  0.500  0.500  0.500
Bi  0.172  0.828  0.250
Bi  0.828  0.172  0.750
O  0.135  0.234  0.426
O  0.181  0.601  0.895
O  0.234  0.135  0.926
O  0.399  0.819  0.605
O  0.415  0.585  0.250
O  0.585  0.415  0.750
O  0.601  0.181  0.395
O  0.766  0.865  0.074
O  0.819  0.399  0.105
O  0.865  0.766  0.574

**SG**: C2/c, No. 15
**Raw formation energy**: -1.56 eV per atom

***

Below is an optimized crystal structure of SrGaBiO4, with properties calculated at the PBE level.

Lattice parameters (Å, degrees): 5.828 5.828 7.517 90.00 90.00 114.35
Positions (direct):
Sr  0.000  0.000  0.000
Sr  0.000  0.000  0.500
Ga  0.355  0.645  0.750
Ga  0.645  0.355  0.250
Bi  0.333  0.667  0.250
Bi  0.667  0.333  0.750
O  0.257  0.743  0.544
O  0.257  0.743  0.956
O  0.273  0.285  0.750
O  0.285  0.273  0.250
O  0.715  0.727  0.750
O  0.727  0.715  0.250
O  0.743  0.257  0.044
O  0.743  0.257  0.456

**SG**: Cmcm, No. 63
**Raw formation energy**: -1.90 eV per atom

***

Below is an optimized crystal structure of TaGa2BiO8, with properties calculated at the PBE level.

Lattice parameters (Å, degrees): 4.717 4.717 6.368 90.00 90.00 91.32
Positions (direct):
Ta  0.000  0.000  0.000
Ga  0.500  0.500  0.239
Ga  0.500  0.500  0.761
Bi  0.000  0.000  0.500
O  0.201  0.799  0.233
O  0.201  0.799  0.767
O  0.303  0.303  0.000
O  0.319  0.319  0.500
O  0.681  0.681  0.500
O  0.697  0.697  0.000
O  0.799  0.201  0.233
O  0.799  0.201  0.767

**SG**: Cmmm, No. 65
**Raw formation energy**: -1.76 eV per atom